AlCuBi3 | PBE | relaxed

Cell: 5.4201 5.4201 5.4201 Å, 90.00 90.00 90.00°
Closest atoms and distances in Å follow each position.
Space group Pm-3m (No. 221)
Asymmetric unit:
Al (0.0000, 0.0000, 0.0000) (multiplicity 1)  6 Bi 2.71
Cu (0.5000, 0.5000, 0.5000) (multiplicity 1)  12 Bi 3.83
Bi (0.0000, 0.0000, 0.5000) (multiplicity 3)  2 Al 2.71

Results
- offset from the most stable computed form (meV/atom) = 297
- calculated formation energy (eV/atom) = 0.8426
- Fermi-level density of states (states/eV per cell) = 4.40